Material: MnCuI2O8
Method: DFT, GGA+U
State: optimized geometry

The structure in POSCAR format:
```
MnCuI2O8
1.0
-3.4435 3.4435 3.4852
3.4435 -3.4435 3.4852
3.4435 3.4435 -3.4852
Mn Cu I O
1 1 2 8
Direct
0.0000 0.0000 0.0000 Mn
0.2500 0.7500 0.5000 Cu
0.5000 0.5000 0.0000 I
0.7500 0.2500 0.5000 I
0.3246 0.1180 0.7934 O
0.3246 0.5311 0.2066 O
0.3680 0.0733 0.2947 O
0.4689 0.6754 0.7934 O
0.7786 0.0733 0.7053 O
0.8820 0.6754 0.2066 O
0.9267 0.2214 0.2947 O
0.9267 0.6320 0.7053 O
```

## Properties
magnetization: 0.365 μB/atom
calculated volume: 165 Å³/cell
symmetry: I-4m2
VASP energy: -4.81 eV per atom